Entry 1:
# ZrInAg

A relaxed ZrInAg crystal (PBE-GGA, Alexandria). Values from VASP.

As for the volume: 125.3 Å³/cell. The density of states at the Fermi level comes out at 3.9 states/eV/cell. The calculation puts the formation energy at -0.403 eV/f.u. The value obtained for the calculated density is 8.32 g cm⁻³. As for the electronic total energy: -29.082 eV/cell. The calculation puts the spin magnetization at 0.00 μB/f.u. The space group is Cmmm, No. 65.

Cell and atoms, written as Quantum ESPRESSO input:
```
&SYSTEM
  ibrav = 0, nat = 6, ntyp = 3
/
ATOMIC_SPECIES
Zr 91.22 Zr.upf
In 114.82 In.upf
Ag 107.87 Ag.upf
ATOMIC_POSITIONS angstrom
Zr 0.0000 0.0000 0.0000
Zr 2.2206 0.0000 2.1873
In 2.2206 4.2644 2.1873
In 2.2206 -4.2644 2.1873
Ag 2.2206 2.1615 0.0000
Ag 2.2206 -2.1615 0.0000
CELL_PARAMETERS angstrom
2.2206 -6.4484 0.0000
2.2206 6.4484 0.0000
0.0000 0.0000 4.3745
```


Entry 2:
# Ba2NaSr4

A relaxed Ba2NaSr4 crystal (PBE-GGA, Alexandria). Values from VASP.

The value obtained for the polymorph energy (0 for the lowest one) is 36 meV/atom. As for the volume: 393.7 Å³/cell. The density of states at the Fermi level comes out at 6.8 states/eV/cell. The calculation puts the formation energy at 0.436 eV/f.u. The value obtained for the calculated density is 2.73 g cm⁻³. As for the electronic total energy: -11.456 eV/cell. The calculation puts the spin magnetization at 0.00 μB/f.u. The space group is C2/m, No. 12.

Cell and atoms, written as Quantum ESPRESSO input:
```
&SYSTEM
  ibrav = 0, nat = 7, ntyp = 3
/
ATOMIC_SPECIES
Ba 137.33 Ba.upf
Na 22.99 Na.upf
Sr 87.62 Sr.upf
ATOMIC_POSITIONS angstrom
Ba 3.6882 0.0000 1.3853
Ba 11.7804 0.0000 7.9806
Na 0.0000 0.0000 0.0000
Sr -1.9326 0.0000 6.6208
Sr 4.5512 0.0000 5.4901
Sr 10.9175 0.0000 3.8758
Sr 17.4012 0.0000 2.7451
CELL_PARAMETERS angstrom
10.1449 -2.0720 0.0000
10.1449 2.0720 0.0000
-4.8213 0.0000 9.3659
```


Entry 3:
# Zr3TlH

A relaxed Zr3TlH crystal (PBE-GGA, Alexandria). Values from VASP.

As for the volume: 140.3 Å³/cell. The density of states at the Fermi level comes out at 4.4 states/eV/cell. The value obtained for the calculated density is 5.67 g cm⁻³. As for the electronic total energy: -28.749 eV/cell. The calculation puts the spin magnetization at 0.00 μB/f.u. The space group is Amm2, No. 38.

Cell and atoms, written as Quantum ESPRESSO input:
```
&SYSTEM
  ibrav = 0, nat = 5, ntyp = 3
/
ATOMIC_SPECIES
Zr 91.22 Zr.upf
Tl 204.38 Tl.upf
H 1.01 H.upf
ATOMIC_POSITIONS angstrom
Zr 0.0000 0.0000 0.0000
Zr 1.5289 -1.4856 5.4506
Zr 1.5289 1.4856 5.4506
Tl 1.5289 0.0000 2.7335
H 0.0000 0.0000 13.1090
CELL_PARAMETERS angstrom
3.0578 0.0000 0.0000
0.0000 3.0167 7.6050
0.0000 -3.0167 7.6050
```


Entry 4:
# La2NbGaN

A relaxed La2NbGaN crystal (PBE-GGA, Alexandria). Values from VASP.

As for the volume: 112.9 Å³/cell. The density of states at the Fermi level comes out at 5.4 states/eV/cell. The value obtained for the calculated density is 6.68 g cm⁻³. The calculation puts the formation energy without anion corrections at -0.6427 eV per atom. As for the electronic total energy: -34.490 eV/cell. The calculation puts the spin magnetization at 0.00 μB/f.u. The space group is P4/mmm, No. 123.

Cell and atoms, written as Quantum ESPRESSO input:
```
&SYSTEM
  ibrav = 0, nat = 5, ntyp = 4
/
ATOMIC_SPECIES
La 138.91 La.upf
Nb 92.91 Nb.upf
Ga 69.72 Ga.upf
N 14.01 N.upf
ATOMIC_POSITIONS angstrom
La 0.0000 2.6013 0.0000
La 2.6013 0.0000 0.0000
Nb 0.0000 0.0000 2.0857
Ga 2.6013 2.6013 2.0857
N 0.0000 0.0000 0.0000
CELL_PARAMETERS angstrom
5.2026 0.0000 0.0000
0.0000 5.2026 0.0000
0.0000 0.0000 4.1713
```